No. 1
Here is an optimized crystal structure of In2NiHg from Alexandria via LeMat-Bulk. Energies are from PBE.

Values from the calculation:
As for the total magnetic moment: 0.0000 μB per atom. The final energy is -22.85 eV/cell. The value obtained for the density is 9.13 g cm⁻³. The density of states at the Fermi level is 0.565 states/eV/atom.

```
data_In2NiHg
_cell_length_a 9.372
_cell_length_b 3.211
_cell_length_c 6.426
_cell_angle_alpha 90.00
_cell_angle_beta 113.12
_cell_angle_gamma 90.00
_symmetry_space_group_name_H-M 'C 1 m 1'
_symmetry_Int_Tables_number 8
loop_
_symmetry_equiv_pos_as_xyz
'x,y,z'
'x,-y,z'
'x+1/2,y+1/2,z'
'x+1/2,-y+1/2,z'
loop_
_atom_site_label
_atom_site_type_symbol
_atom_site_fract_x
_atom_site_fract_y
_atom_site_fract_z
In1 In 0.000 0.000 0.000
In2 In 0.169 0.000 0.631
Ni1 Ni 0.219 0.500 0.979
Hg1 Hg 0.360 0.000 0.351
```


No. 2
Here is an optimized crystal structure of CoAg2Pd2 from Alexandria via LeMat-Bulk. Energies are from PBE.

Values from the calculation:
As for the excess energy over the best structure of this formula in the dataset: 162 meV per atom. As for the total magnetic moment: 0.4034 μB per atom. The final energy is -41.57 eV/cell. The value obtained for the density is 9.44 g cm⁻³. The density of states at the Fermi level is 1.042 states/eV/atom.

```
data_CoAg2Pd2
_cell_length_a 7.706
_cell_length_b 7.706
_cell_length_c 2.888
_cell_angle_alpha 90.00
_cell_angle_beta 90.00
_cell_angle_gamma 90.00
_symmetry_space_group_name_H-M 'P 4/m b m'
_symmetry_Int_Tables_number 127
_symmetry_space_group_name_Hall '-P 4 2ab'
loop_
_atom_site_label
_atom_site_type_symbol
_atom_site_fract_x
_atom_site_fract_y
_atom_site_fract_z
Co1 Co 0.000 0.000 0.000
Ag1 Ag 0.129 0.371 0.000
Pd1 Pd 0.170 0.670 0.500
```


No. 3
Here is an optimized crystal structure of CeNdDy2In4 from Alexandria via LeMat-Bulk. Energies are from PBE.

Values from the calculation:
As for the total magnetic moment: 0.1150 μB per atom. The final energy is -103.11 eV/cell. The value obtained for the density is 7.98 g cm⁻³. The density of states at the Fermi level is 1.161 states/eV/atom.

```
data_CeNdDy2In4
_cell_length_a 5.3935
_cell_length_b 5.3935
_cell_length_c 26.4957
_cell_angle_alpha 90.00
_cell_angle_beta 90.00
_cell_angle_gamma 120.00
_symmetry_space_group_name_H-M 'R -3 m'
_symmetry_Int_Tables_number 166
_symmetry_space_group_name_Hall '-R 3 2"'
loop_
_atom_site_label
_atom_site_type_symbol
_atom_site_fract_x
_atom_site_fract_y
_atom_site_fract_z
Ce1 Ce 0.0000 0.0000 0.0000
Nd1 Nd 0.0000 0.0000 0.5000
Dy1 Dy 0.0000 0.0000 0.2500
In1 In 0.0000 0.0000 0.1250
In2 In 0.0000 0.0000 0.3750
```


No. 4
Here is an optimized crystal structure of CrReRh2 from Alexandria via LeMat-Bulk. Energies are from PBE.

Values from the calculation:
As for the excess energy over the best structure of this formula in the dataset: 351 meV per atom. As for the total magnetic moment: 0.0002 μB per atom. The final energy is -143.61 eV/cell. The value obtained for the density is 13.22 g cm⁻³. The density of states at the Fermi level is 1.063 states/eV/atom.

```
data_CrReRh2
_cell_length_a 6.065
_cell_length_b 6.065
_cell_length_c 6.065
_cell_angle_alpha 90.00
_cell_angle_beta 90.00
_cell_angle_gamma 90.00
_symmetry_space_group_name_H-M 'F -4 3 m'
_symmetry_Int_Tables_number 216
_symmetry_space_group_name_Hall 'F -4 2 3'
loop_
_atom_site_label
_atom_site_type_symbol
_atom_site_fract_x
_atom_site_fract_y
_atom_site_fract_z
Cr1 Cr 0.000 0.000 0.000
Re1 Re 0.250 0.250 0.750
Rh1 Rh 0.000 0.000 0.500
Rh2 Rh 0.250 0.250 0.250
```


- Which value of final energy does entry 3 give?
  -103.11 eV/cell


- final energy of number 1 (In2NiHg)?
  -22.85 eV/cell


- Which of these has the lowest total magnetic moment?
  In2NiHg


What did the first record say?
Here is an optimized crystal structure of In2NiHg from Alexandria via LeMat-Bulk. Energies are from PBE.

Values from the calculation:
As for the total magnetic moment: 0.0000 μB per atom. The final energy is -22.85 eV/cell. The value obtained for the density is 9.13 g cm⁻³. The density of states at the Fermi level is 0.565 states/eV/atom.

```
data_In2NiHg
_cell_length_a 9.372
_cell_length_b 3.211
_cell_length_c 6.426
_cell_angle_alpha 90.00
_cell_angle_beta 113.12
_cell_angle_gamma 90.00
_symmetry_space_group_name_H-M 'C 1 m 1'
_symmetry_Int_Tables_number 8
loop_
_symmetry_equiv_pos_as_xyz
'x,y,z'
'x,-y,z'
'x+1/2,y+1/2,z'
'x+1/2,-y+1/2,z'
loop_
_atom_site_label
_atom_site_type_symbol
_atom_site_fract_x
_atom_site_fract_y
_atom_site_fract_z
In1 In 0.000 0.000 0.000
In2 In 0.169 0.000 0.631
Ni1 Ni 0.219 0.500 0.979
Hg1 Hg 0.360 0.000 0.351
```